#1
DFT (GGA-PBE) results for a relaxed structure of Tb4TlIr.

```
12
Lattice="-5.3727 -2.7971 -3.3747 2.4453 -6.4665 1.4668 -3.8341 0.0292 6.5206" Properties=species:S:1:pos:R:3 pbc="T T T"
Tb -0.6476 -6.6131 1.2027
Tl 0.0000 0.0000 0.0000
Tb -2.3286 -3.1203 1.7614
Tb -3.8710 -6.5916 -0.8068
Tb -4.4330 -6.1141 2.8514
Tb -6.1139 -2.6213 3.4101
Tb -5.4634 -3.3329 -0.1950
Ir -4.6034 -1.3840 1.5730
Ir -0.6944 -3.2186 3.9937
Tl -1.4637 -4.6318 -0.9540
Tb -1.2981 -5.9016 4.8077
Tb -2.8905 -2.6428 5.4195
```

The magnetization comes out at 0.0 μB per cell. The value obtained for the density of states at the Fermi level is 6.47 states/eV/f.u.

=====

#2
DFT (GGA-PBE) results for a relaxed structure of Tb4TlIr.

```
24
Lattice="8.4190 0.0000 4.8607 2.8063 7.9375 4.8607 0.0000 0.0000 9.7214" Properties=species:S:1:pos:R:3 pbc="T T T"
Tl 2.8063 4.0255 4.8607
Tb 2.1436 1.5158 9.7214
Tb 3.8781 6.4217 6.7171
Tb 7.3472 1.5158 12.7256
Ir 3.1736 4.8311 9.7214
Tl 4.7308 1.3040 4.8607
Tb 3.8781 6.4217 12.7256
Tl 1.8441 1.3040 3.1941
Tb 9.4900 4.4385 16.4371
Ir 5.6127 1.3817 9.7214
Tb 7.8358 3.1827 9.7214
Tb 6.2770 4.4385 14.5821
Tb 7.3480 7.4677 16.4371
Tb 7.3472 1.5158 6.7171
Tb 10.5610 7.4677 14.5821
Tb 9.0817 6.4217 9.7214
Ir 6.8322 4.8311 11.8337
Tb 7.3480 7.4677 12.7271
Tl 1.8441 1.3040 6.5273
Ir 6.8322 4.8311 7.6091
Tb 9.4900 4.4385 12.7271
Tb 4.5011 3.1827 11.6467
Tb 4.5011 3.1827 7.7961
Tb 5.6126 6.3268 9.7214
```

The magnetization comes out at 0.0 μB per cell. The value obtained for the density of states at the Fermi level is 4.03 states/eV/f.u.

=====

Q: What are the energies relative to the best structure? A: #1 186; #2 0, in meV/atom.